(1)
Compound: AcCu3Mo4O12
Source: the Alexandria database
Functional: GGA+U
Structure: optimized geometry

The structure belongs to space group Im-3 (No. 204); the cell edges are 7.7857, 7.7857 and 7.7857 Å and the angles 90.00°, 90.00° and 90.00°. The inequivalent atoms are Ac at (0.0000, 0.0000, 0.0000), Cu at (0.0000, 0.0000, 0.5000), Mo at (0.2500, 0.2500, 0.2500) and O at (0.0000, 0.3042, 0.1715).

For the mass density, the calculation gives 6.99 Mg/m³.



(2)
Compound: AcCuMoO5
Source: the Alexandria database
Functional: GGA+U
Structure: optimized geometry

The structure belongs to space group C2/c (No. 15); the cell edges are 9.3523, 8.7315 and 9.0598 Å and the angles 90.00°, 119.95° and 90.00°. The inequivalent atoms are Ac at (0.0000, 0.0000, 0.0000), Cu at (0.0000, 0.3073, 0.2500), Mo at (0.0000, 0.3961, 0.7500), O at (0.0000, 0.0949, 0.2500), O at (0.0192, 0.2777, 0.9200) and O at (0.1808, 0.4779, 0.3280).

For the mass density, the calculation gives 4.83 Mg/m³.



(3)
Compound: AcCuMo2O8
Source: the Alexandria database
Functional: GGA+U
Structure: optimized geometry

The structure belongs to space group P-3m1 (No. 164); the cell edges are 5.9124, 5.9124 and 6.7174 Å and the angles 90.00°, 90.00° and 120.00°. The inequivalent atoms are Ac at (0.0000, 0.0000, 0.0000), Cu at (0.0000, 0.0000, 0.5000), Mo at (0.3333, 0.6667, 0.2231), O at (0.1619, 0.3238, 0.2931) and O at (0.3333, 0.6667, 0.9587).

For the mass density, the calculation gives 4.98 Mg/m³.



(4)
Compound: Ac2CuMoO6
Source: the Alexandria database
Functional: GGA+U
Structure: optimized geometry

The structure belongs to space group C2/m (No. 12); the cell edges are 10.2889, 5.5796 and 5.7975 Å and the angles 90.00°, 123.04° and 90.00°. The inequivalent atoms are Ac at (0.2467, 0.0000, 0.2327), Cu at (0.0000, 0.5000, 0.0000), Mo at (0.0000, 0.0000, 0.5000), O at (0.0533, 0.2502, 0.8078) and O at (0.2269, 0.0000, 0.6374).

For the mass density, the calculation gives 8.45 Mg/m³.



Looking at E for the records above, in order, we have -6.7951; -6.9344; -6.9955; -7.2315 eV/atom.